i:
PBEsol NbAu3Se, optimized geometry; Fermi-level density of states = 6.04 states/eV per cell; magnetization = 0.00 μB/f.u.; SG = Pm-3m
1.0
5.026 0.000 0.000
0.000 5.026 0.000
0.000 0.000 5.026
Nb Au Se
1 3 1
Direct
0.000 0.000 0.000 Nb
0.000 0.500 0.000 Au
0.000 0.000 0.500 Au
0.500 0.000 0.000 Au
0.500 0.500 0.500 Se


ii:
PBEsol NbAu3Se, optimized geometry; Fermi-level density of states = 4.80 states/eV per cell; magnetization = 2.72 μB/f.u.; SG = Pm-3m
1.0
4.794 0.000 0.000
0.000 4.794 0.000
0.000 0.000 4.794
Nb Au Se
1 3 1
Direct
0.500 0.500 0.500 Nb
0.000 0.500 0.000 Au
0.000 0.000 0.500 Au
0.500 0.000 0.000 Au
0.000 0.000 0.000 Se


Least stable: i